1.
A plane-wave DFT calculation with PBE was carried out for KWCl4 after structural relaxation. Values from VASP.

Cell and atoms, written as Quantum ESPRESSO input:
```
&SYSTEM
  ibrav = 0, nat = 12, ntyp = 3
/
ATOMIC_SPECIES
W 183.84 W.upf
Cl 35.45 Cl.upf
K 39.10 K.upf
ATOMIC_POSITIONS angstrom
W -5.304 -4.528 -1.511
W 4.725 -3.774 4.060
Cl 3.071 -4.670 2.519
Cl -1.108 -3.640 3.338
Cl 2.833 -2.464 4.846
Cl -3.413 -5.838 -2.297
Cl 0.432 -4.015 -4.235
Cl 0.529 -4.662 -0.789
Cl -3.650 -3.632 0.029
Cl 0.130 -1.212 -1.278
K -1.994 -6.299 0.505
K 1.415 -2.003 2.043
CELL_PARAMETERS angstrom
-6.697 -1.486 0.726
0.562 -5.227 -5.513
5.556 -1.589 7.336
```

Results
* calculated total energy: -4.595 eV/atom
* formation energy without anion corrections: -1.022 eV per atom

---

2.
A plane-wave DFT calculation with PBE was carried out for K2WCl after structural relaxation. Values from VASP.

Cell and atoms, written as Quantum ESPRESSO input:
```
&SYSTEM
  ibrav = 0, nat = 4, ntyp = 3
/
ATOMIC_SPECIES
W 183.84 W.upf
Cl 35.45 Cl.upf
K 39.10 K.upf
ATOMIC_POSITIONS angstrom
W -11.927 -0.138 -0.957
Cl -6.999 0.845 0.150
K -18.573 -2.744 -3.435
K -14.537 -1.940 -2.529
CELL_PARAMETERS angstrom
-9.883 -1.056 -3.454
-10.056 -2.922 -1.027
-0.874 2.387 1.773
```

Results
* calculated total energy: -3.853 eV/atom
* formation energy without anion corrections: 0.395 eV per atom
* N(E_F): 2.02 states/eV/cell

---

3.
A plane-wave DFT calculation with PBE was carried out for KW4Cl after structural relaxation. Values from VASP.

Cell and atoms, written as Quantum ESPRESSO input:
```
&SYSTEM
  ibrav = 0, nat = 6, ntyp = 3
/
ATOMIC_SPECIES
W 183.84 W.upf
K 39.10 K.upf
Cl 35.45 Cl.upf
ATOMIC_POSITIONS angstrom
W 4.719 -5.772 1.058
W 3.719 -3.385 1.464
W 6.303 -3.773 1.656
W 4.693 -4.756 3.473
K 0.000 0.000 0.000
Cl 7.288 -6.633 2.869
CELL_PARAMETERS angstrom
5.510 -0.828 0.408
2.076 -2.925 4.283
2.131 -5.091 -0.866
```

Results
* calculated total energy: -7.576 eV/atom
* formation energy without anion corrections: 1.550 eV per atom
* N(E_F): 4.96 states/eV/cell

---

4.
A plane-wave DFT calculation with PBE was carried out for KWCl3 after structural relaxation. Values from VASP.

Cell and atoms, written as Quantum ESPRESSO input:
```
&SYSTEM
  ibrav = 0, nat = 5, ntyp = 3
/
ATOMIC_SPECIES
Cl 35.45 Cl.upf
W 183.84 W.upf
K 39.10 K.upf
ATOMIC_POSITIONS angstrom
Cl 0.000 0.000 2.752
Cl 2.752 0.000 0.000
Cl 0.000 2.752 0.000
W 2.752 2.752 2.752
K 0.000 0.000 0.000
CELL_PARAMETERS angstrom
5.504 0.000 0.000
0.000 5.504 0.000
0.000 0.000 5.504
```

Results
* calculated total energy: -3.119 eV/atom
* formation energy without anion corrections: 0.799 eV per atom
* N(E_F): 9.34 states/eV/cell

---

5.
A plane-wave DFT calculation with PBE was carried out for K2WCl after structural relaxation. Values from VASP.

Cell and atoms, written as Quantum ESPRESSO input:
```
&SYSTEM
  ibrav = 0, nat = 4, ntyp = 3
/
ATOMIC_SPECIES
W 183.84 W.upf
K 39.10 K.upf
Cl 35.45 Cl.upf
ATOMIC_POSITIONS angstrom
W 0.402 -8.086 0.540
K 0.022 -0.434 0.029
K 0.782 -15.737 1.052
Cl 1.205 -24.257 1.621
CELL_PARAMETERS angstrom
-0.985 -10.927 -0.332
2.212 -10.750 -0.072
0.379 -10.665 2.565
```

Results
* calculated total energy: -3.825 eV/atom
* formation energy without anion corrections: 0.423 eV per atom
* N(E_F): 2.54 states/eV/cell

---

6.
A plane-wave DFT calculation with PBE was carried out for KWCl3 after structural relaxation. Values from VASP.

Cell and atoms, written as Quantum ESPRESSO input:
```
&SYSTEM
  ibrav = 0, nat = 10, ntyp = 3
/
ATOMIC_SPECIES
Cl 35.45 Cl.upf
K 39.10 K.upf
W 183.84 W.upf
ATOMIC_POSITIONS angstrom
Cl -6.199 -6.463 4.115
Cl -7.160 -6.295 0.737
Cl -2.573 -2.109 1.473
Cl -5.974 -1.784 0.624
Cl -6.985 -1.491 -3.573
Cl -5.014 -1.953 4.003
K -2.311 0.330 -0.382
K -7.248 -3.928 -1.717
W -7.083 -4.697 2.625
W -5.090 -3.551 2.115
CELL_PARAMETERS angstrom
-1.542 2.944 0.585
-5.935 -4.083 -4.847
-2.613 -4.650 6.840
```

Results
* calculated total energy: -4.871 eV/atom
* formation energy without anion corrections: -0.953 eV per atom
* N(E_F): 1.46 states/eV/cell

---

7.
A plane-wave DFT calculation with PBE was carried out for K2WCl after structural relaxation. Values from VASP.

Cell and atoms, written as Quantum ESPRESSO input:
```
&SYSTEM
  ibrav = 0, nat = 4, ntyp = 3
/
ATOMIC_SPECIES
Cl 35.45 Cl.upf
K 39.10 K.upf
W 183.84 W.upf
ATOMIC_POSITIONS angstrom
Cl 0.000 0.000 0.000
K 6.268 6.268 6.268
K 2.089 2.089 2.089
W 4.179 4.179 4.179
CELL_PARAMETERS angstrom
0.000 4.179 4.179
4.179 0.000 4.179
4.179 4.179 0.000
```

Results
* calculated total energy: -3.449 eV/atom
* formation energy without anion corrections: 0.799 eV per atom
* N(E_F): 0.00 states/eV/cell

---

8.
A plane-wave DFT calculation with PBE was carried out for K6WCl12 after structural relaxation. Values from VASP.

Cell and atoms, written as Quantum ESPRESSO input:
```
&SYSTEM
  ibrav = 0, nat = 19, ntyp = 3
/
ATOMIC_SPECIES
Cl 35.45 Cl.upf
K 39.10 K.upf
W 183.84 W.upf
ATOMIC_POSITIONS angstrom
Cl 3.630 -5.954 0.426
Cl 2.032 -9.203 2.805
Cl 4.674 -6.137 5.302
Cl -3.141 -9.411 -5.379
Cl 3.221 -6.223 -6.206
Cl 2.816 -9.100 -2.440
Cl -1.688 -9.325 6.129
Cl -1.283 -6.448 2.363
Cl -2.097 -9.594 -0.503
Cl -5.970 -7.164 0.808
Cl 7.503 -8.384 -0.885
Cl -0.498 -6.345 -2.882
K 3.951 -9.016 0.382
K -0.965 -9.511 2.379
K 2.499 -6.037 -2.456
K -2.418 -6.532 -0.459
K 1.764 -6.136 2.822
K -0.230 -9.412 -2.899
W 0.000 0.000 0.000
CELL_PARAMETERS angstrom
-6.412 -5.879 2.680
1.639 -5.035 -7.404
6.307 -4.634 4.648
```

Results
* calculated total energy: -3.677 eV/atom
* formation energy without anion corrections: -1.482 eV per atom

---

9.
A plane-wave DFT calculation with PBE was carried out for KWCl6 after structural relaxation. Values from VASP.

Cell and atoms, written as Quantum ESPRESSO input:
```
&SYSTEM
  ibrav = 0, nat = 8, ntyp = 3
/
ATOMIC_SPECIES
Cl 35.45 Cl.upf
K 39.10 K.upf
W 183.84 W.upf
ATOMIC_POSITIONS angstrom
Cl -3.986 0.451 -3.694
Cl -2.254 3.531 -3.492
Cl -9.574 6.009 -9.476
Cl -7.426 6.654 -6.738
Cl -9.158 3.575 -6.940
Cl -1.838 1.097 -0.957
K -5.706 3.553 -5.216
W 0.000 0.000 0.000
CELL_PARAMETERS angstrom
-0.805 4.712 -4.907
-4.159 -1.249 -5.299
-6.448 3.643 -0.226
```

Results
* calculated total energy: -4.256 eV/atom
* formation energy without anion corrections: -1.114 eV per atom
* N(E_F): 5.41 states/eV/cell

---

10.
A plane-wave DFT calculation with PBE was carried out for KW2Cl after structural relaxation. Values from VASP.

Cell and atoms, written as Quantum ESPRESSO input:
```
&SYSTEM
  ibrav = 0, nat = 4, ntyp = 3
/
ATOMIC_SPECIES
K 39.10 K.upf
Cl 35.45 Cl.upf
W 183.84 W.upf
ATOMIC_POSITIONS angstrom
K 23.114 3.205 1.874
Cl 7.705 1.068 0.625
W 30.306 4.202 2.457
W 15.922 2.208 1.291
CELL_PARAMETERS angstrom
10.539 -0.005 -0.003
10.140 2.872 -0.003
10.140 1.406 2.504
```

Results
* calculated total energy: -5.990 eV/atom
* formation energy without anion corrections: 1.223 eV per atom
* N(E_F): 3.53 states/eV/cell

---

11.
A plane-wave DFT calculation with PBE was carried out for KW2Cl after structural relaxation. Values from VASP.

Cell and atoms, written as Quantum ESPRESSO input:
```
&SYSTEM
  ibrav = 0, nat = 4, ntyp = 3
/
ATOMIC_SPECIES
W 183.84 W.upf
Cl 35.45 Cl.upf
K 39.10 K.upf
ATOMIC_POSITIONS angstrom
W 0.000 0.000 0.000
W 2.220 0.276 1.471
Cl -1.122 4.319 1.472
K 1.110 4.043 0.004
CELL_PARAMETERS angstrom
4.453 0.000 0.002
-2.232 8.086 0.005
-0.012 0.551 2.939
```

Results
* calculated total energy: -6.341 eV/atom
* formation energy without anion corrections: 0.871 eV per atom
* N(E_F): 4.04 states/eV/cell

---

12.
A plane-wave DFT calculation with PBE was carried out for K2WCl after structural relaxation. Values from VASP.

Cell and atoms, written as Quantum ESPRESSO input:
```
&SYSTEM
  ibrav = 0, nat = 4, ntyp = 3
/
ATOMIC_SPECIES
K 39.10 K.upf
W 183.84 W.upf
Cl 35.45 Cl.upf
ATOMIC_POSITIONS angstrom
K 0.000 3.011 3.011
K 0.000 0.000 0.000
W 1.873 3.011 0.000
Cl 1.873 0.000 3.011
CELL_PARAMETERS angstrom
3.746 0.000 0.000
0.000 6.022 0.000
0.000 0.000 6.022
```

Results
* calculated total energy: -3.543 eV/atom
* formation energy without anion corrections: 0.706 eV per atom
* N(E_F): 0.39 states/eV/cell

---

13.
A plane-wave DFT calculation with PBE was carried out for K2WCl after structural relaxation. Values from VASP.

Cell and atoms, written as Quantum ESPRESSO input:
```
&SYSTEM
  ibrav = 0, nat = 4, ntyp = 3
/
ATOMIC_SPECIES
K 39.10 K.upf
Cl 35.45 Cl.upf
W 183.84 W.upf
ATOMIC_POSITIONS angstrom
K 0.000 3.120 5.596
K 0.000 3.131 9.800
Cl 1.549 4.673 7.693
W 1.549 1.558 2.564
CELL_PARAMETERS angstrom
3.098 0.000 0.000
0.000 3.096 -0.010
0.000 3.135 10.267
```

Results
* calculated total energy: -3.867 eV/atom
* formation energy without anion corrections: 0.382 eV per atom
* N(E_F): 2.54 states/eV/cell

---

The records above yield calculated volume values of 32.29; 24.73; 20.55; 33.36; 24.17; 24.45; 36.49; 39.69; 31.83; 19.00; 26.45; 33.97; 24.64 Å³ per atom, respectively.
The records above yield total moment values of 2.0; 0.9; 0.0; 4.0; 0.4; 0.0; 5.0; 0.7; 1.0; 0.0; 0.0; 5.0; 0.9 μB per cell, respectively.